Entry 1:
# Sr3C

Crystalline Sr3C at its relaxed geometry (PBE-GGA, Alexandria).

```
4
Lattice="-2.826 -2.219 1.684 3.629 -1.502 -0.564 2.974 3.556 9.675" Properties=species:S:1:pos:R:3 pbc="T T T"
Sr 1.487 1.778 4.838
Sr -0.236 -1.456 2.360
Sr 1.862 1.052 9.185
C 0.000 0.000 0.000
```

## Properties
Its space-group type is P-6m2. The calculation puts the energy relative to the lowest polymorph listed for this composition at 138 meV/atom.

=====

Entry 2:
# SrC

Crystalline SrC at its relaxed geometry (PBE-GGA, Alexandria).

```
12
Lattice="-5.593 -5.150 -7.359 1.760 -3.459 1.083 -5.110 -1.136 4.679" Properties=species:S:1:pos:R:3 pbc="T T T"
Sr -5.393 -2.398 1.107
Sr -7.552 -4.387 -1.735
Sr -4.754 -6.135 -4.370
Sr -1.321 -2.973 0.147
Sr -4.083 -0.907 3.738
Sr -3.444 -4.644 -1.739
C -2.584 -2.034 -2.297
C -3.998 -3.336 -4.157
C -7.055 -6.907 -3.095
C -2.876 -3.058 2.403
C -2.036 -2.378 3.212
C -3.158 -2.656 -3.349
```

## Properties
Its space-group type is Imm2. The calculation puts the energy relative to the lowest polymorph listed for this composition at 137 meV/atom.

=====

Entry 3:
# SrC

Crystalline SrC at its relaxed geometry (PBE-GGA, Alexandria).

```
12
Lattice="-3.879 4.379 -8.285 -5.916 -5.663 5.984 -0.680 2.370 1.571" Properties=species:S:1:pos:R:3 pbc="T T T"
Sr -4.596 2.831 -4.900
Sr -7.480 -0.229 1.188
Sr -6.593 0.727 -2.590
Sr -5.878 -1.745 4.169
Sr -2.993 1.315 -1.919
Sr -3.881 0.359 1.859
C -7.915 -2.677 1.973
C -5.631 1.236 -0.221
C -3.461 -2.343 3.397
C -2.558 3.763 -2.704
C -4.843 -0.150 -0.510
C -7.013 3.429 -4.128
```

## Properties
Its space-group type is P6_3/m. The calculation puts the energy relative to the lowest polymorph listed for this composition at 707 meV/atom.

=====

Entry 4:
# SrC

Crystalline SrC at its relaxed geometry (PBE-GGA, Alexandria).

```
4
Lattice="-4.746 2.433 0.200 -2.988 1.014 4.305 -1.164 4.749 2.141" Properties=species:S:1:pos:R:3 pbc="T T T"
Sr -6.694 6.166 5.000
Sr -2.204 2.030 1.646
C -8.471 7.803 6.327
C -0.427 0.393 0.319
```

## Properties
Its space-group type is R-3m. The calculation puts the energy relative to the lowest polymorph listed for this composition at 104 meV/atom.

=====

Entry 5:
# Sr3C

Crystalline Sr3C at its relaxed geometry (PBE-GGA, Alexandria).

```
8
Lattice="-1.935 -5.878 1.153 5.988 -1.862 0.555 -0.177 1.268 6.164" Properties=species:S:1:pos:R:3 pbc="T T T"
Sr 1.543 -5.340 1.143
Sr 2.510 -2.401 0.566
Sr 4.402 -0.763 3.498
Sr 1.408 0.168 3.221
Sr -1.012 -2.622 2.118
Sr -1.100 -1.988 5.199
C 0.000 0.000 0.000
C 1.938 -3.236 3.936
```

## Properties
Its space-group type is Pm-3n. The calculation puts the energy relative to the lowest polymorph listed for this composition at 893 meV/atom.

=====

Entry 6:
# SrC2

Crystalline SrC2 at its relaxed geometry (PBE-GGA, Alexandria).

```
6
Lattice="1.983 -3.435 0.000 1.983 3.435 0.000 0.000 0.000 8.950" Properties=species:S:1:pos:R:3 pbc="T T T"
Sr 1.983 -1.145 6.712
Sr 1.983 1.145 2.237
C 0.000 0.000 8.322
C 0.000 0.000 3.847
C 0.000 0.000 0.628
C 0.000 0.000 5.103
```

## Properties
Its space-group type is P6_3/mmc.

=====

Entry 7:
# Sr2C

Crystalline Sr2C at its relaxed geometry (PBE-GGA, Alexandria).

```
6
Lattice="0.888 -6.958 -3.337 4.122 -5.294 -3.916 3.502 -5.216 4.561" Properties=species:S:1:pos:R:3 pbc="T T T"
Sr 5.243 -11.977 -5.160
Sr 1.357 -2.576 0.172
Sr 7.154 -14.892 -2.864
Sr 3.269 -5.491 2.468
C 2.811 -6.706 -3.583
C 5.700 -10.762 0.892
```

## Properties
Its space-group type is C2/m. The calculation puts the energy relative to the lowest polymorph listed for this composition at 0 meV/atom.

=====

Entry 8:
# Sr2C

Crystalline Sr2C at its relaxed geometry (PBE-GGA, Alexandria).

```
6
Lattice="4.350 1.777 3.515 -5.152 1.483 2.386 0.258 -5.826 -0.653" Properties=species:S:1:pos:R:3 pbc="T T T"
Sr 0.083 -2.094 1.167
Sr -0.627 -0.474 4.081
Sr -2.514 -4.133 1.941
Sr 1.970 1.566 3.308
C -0.601 2.444 4.426
C -0.200 0.815 1.475
```

## Properties
Its space-group type is I4/mcm. The calculation puts the energy relative to the lowest polymorph listed for this composition at 652 meV/atom.

=====

Entry 9:
# SrC

Crystalline SrC at its relaxed geometry (PBE-GGA, Alexandria).

```
32
Lattice="-5.670 4.393 6.168 -8.944 -1.293 -7.301 -1.850 -7.413 3.579" Properties=species:S:1:pos:R:3 pbc="T T T"
Sr -6.616 -0.957 -5.401
Sr -2.328 -0.337 -1.900
Sr -1.972 -0.768 2.362
Sr -6.260 -1.388 -1.139
Sr -3.069 -4.016 0.039
Sr -7.725 -4.690 -3.761
Sr -7.369 -5.121 0.501
Sr -11.657 -5.741 -3.000
Sr -10.376 -2.466 -0.527
Sr -6.088 -1.846 2.973
Sr -5.732 -2.278 7.235
Sr -10.020 -2.898 3.735
Sr -4.979 1.887 1.334
Sr -9.635 1.213 -2.467
Sr -9.279 0.782 1.795
Sr -13.567 0.162 -1.705
C -3.217 2.493 3.500
C -2.453 1.900 2.668
C -11.041 0.175 -0.371
C -11.806 0.768 0.461
C -8.614 -1.860 1.639
C -7.850 -2.453 0.807
C -7.494 -2.884 5.069
C -8.258 -2.292 5.901
C -1.307 -3.410 2.206
C -6.213 0.391 7.542
C -9.131 -5.727 -1.665
C -9.895 -5.135 -0.833
C -4.854 -0.350 -3.235
C -9.760 3.450 2.102
C -3.734 -1.374 0.196
C -4.498 -0.782 1.027
```

## Properties
Its space-group type is Fddd. The calculation puts the energy relative to the lowest polymorph listed for this composition at 78 meV/atom.

=====

Entry 10:
# Sr3C

Crystalline Sr3C at its relaxed geometry (PBE-GGA, Alexandria).

```
8
Lattice="-9.390 2.807 2.681 1.340 -7.650 -6.551 0.089 -2.424 2.848" Properties=species:S:1:pos:R:3 pbc="T T T"
Sr -6.532 -2.665 -0.835
Sr -3.865 -1.060 0.447
Sr -6.976 -0.130 1.335
Sr -1.429 -4.603 -0.187
Sr -4.096 -6.207 -1.469
Sr -0.985 -7.137 -2.357
C -2.214 -4.771 -2.762
C -5.747 -2.497 1.740
```

## Properties
Its space-group type is P6_3/mmc. The calculation puts the energy relative to the lowest polymorph listed for this composition at 103 meV/atom.

=====

Entry 11:
# Sr2TaC2

Crystalline Sr2TaC2 at its relaxed geometry (PBE-GGA, Alexandria).

```
10
Lattice="-5.564 -3.392 -0.602 1.338 -3.182 5.559 -2.066 2.996 2.213" Properties=species:S:1:pos:R:3 pbc="T T T"
Sr -0.991 -1.069 4.622
Sr -3.501 -3.411 5.450
Sr -5.301 -2.509 2.548
Sr -2.791 -0.167 1.720
C -0.624 -3.603 4.296
C -3.556 -4.943 3.372
C -3.602 -2.971 0.660
C -0.670 -1.632 1.584
Ta 0.000 0.000 0.000
Ta -2.113 -3.287 2.478
```

## Properties
Its space-group type is P4/mbm. The calculation puts the energy relative to the lowest polymorph listed for this composition at 0 meV/atom.

=====

Entry 12:
# SrTa3C

Crystalline SrTa3C at its relaxed geometry (PBE-GGA, Alexandria).

```
5
Lattice="-3.396 1.054 3.279 -3.125 -2.878 -2.312 1.447 -3.742 2.702" Properties=species:S:1:pos:R:3 pbc="T T T"
Sr 0.000 0.000 0.000
C -2.537 -2.783 1.834
Ta -1.563 -1.439 -1.156
Ta 0.724 -1.871 1.351
Ta -1.698 0.527 1.639
```

## Properties
Its space-group type is Pm-3m. The calculation puts the energy relative to the lowest polymorph listed for this composition at 3633 meV/atom.

=====

Entry 13:
# SrTa3C

Crystalline SrTa3C at its relaxed geometry (PBE-GGA, Alexandria).

```
5
Lattice="4.513 0.000 0.000 0.000 4.513 0.000 0.000 0.000 4.513" Properties=species:S:1:pos:R:3 pbc="T T T"
Sr 2.256 2.256 2.256
C 0.000 0.000 0.000
Ta 0.000 2.256 0.000
Ta 0.000 0.000 2.256
Ta 2.256 0.000 0.000
```

## Properties
Its space-group type is Pm-3m. The calculation puts the energy relative to the lowest polymorph listed for this composition at 0 meV/atom.

=====

Entry 14:
# Sr2TaC2

Crystalline Sr2TaC2 at its relaxed geometry (PBE-GGA, Alexandria).

```
5
Lattice="-0.561 2.748 -2.938 -4.018 -0.236 0.546 -2.023 5.249 2.488" Properties=species:S:1:pos:R:3 pbc="T T T"
Sr -2.436 4.627 -0.823
Sr -4.165 3.135 0.919
C -2.256 1.759 -0.732
C -4.346 6.002 0.828
Ta 0.000 0.000 0.000
```

## Properties
Its space-group type is I4/mmm. The calculation puts the energy relative to the lowest polymorph listed for this composition at 479 meV/atom.

=====

Entry 15:
# Sr2TaC

Crystalline Sr2TaC at its relaxed geometry (PBE-GGA, Alexandria).

```
8
Lattice="-1.353 -1.814 10.643 -5.004 -9.399 -2.238 -1.342 -6.600 4.267" Properties=species:S:1:pos:R:3 pbc="T T T"
Sr -1.568 -3.638 5.558
Sr -3.871 -8.072 2.879
Sr -4.275 -10.816 5.956
Sr -5.685 -13.101 10.950
C -3.179 -5.607 4.202
C -4.763 -10.803 3.115
Ta 0.000 0.000 0.000
Ta -2.937 -7.010 9.556
```

## Properties
Its space-group type is I-42d.

=====

Entry 16:
# SrTaZn2C

Crystalline SrTaZn2C at its relaxed geometry (PBE-GGA, Alexandria).

```
5
Lattice="-1.442 4.051 0.153 -0.532 -0.028 -4.269 -4.637 -1.673 0.589" Properties=species:S:1:pos:R:3 pbc="T T T"
Sr -2.319 -0.836 0.294
Zn -0.266 -0.014 -2.135
Zn -0.721 2.025 0.076
C 0.000 0.000 0.000
Ta -3.305 1.175 -1.764
```

## Properties
Its space-group type is P4/mmm.

=====

Entry 17:
# Sr2ZrTaC

Crystalline Sr2ZrTaC at its relaxed geometry (PBE-GGA, Alexandria).

```
5
Lattice="6.354 0.000 0.000 0.000 4.059 0.000 0.000 0.000 6.354" Properties=species:S:1:pos:R:3 pbc="T T T"
Sr 0.000 0.000 3.177
Sr 3.177 0.000 0.000
C 0.000 2.030 0.000
Zr 0.000 0.000 0.000
Ta 3.177 2.030 3.177
```

## Properties
Its space-group type is P4/mmm.

=====

Entry 18:
# SrZrTaC2

Crystalline SrZrTaC2 at its relaxed geometry (PBE-GGA, Alexandria).

```
5
Lattice="-0.729 3.793 2.408 0.343 -2.710 4.372 4.483 0.778 0.131" Properties=species:S:1:pos:R:3 pbc="T T T"
Sr 2.049 0.931 3.456
C 2.241 0.389 0.065
C -0.364 1.896 1.204
Zr 0.000 0.000 0.000
Ta 0.172 -1.355 2.186
```

## Properties
Its space-group type is P4/mmm.

=====

Entry 19:
# SrTb2C

Crystalline SrTb2C at its relaxed geometry (PBE-GGA, Alexandria).

```
4
Lattice="3.658 0.000 0.000 1.829 3.168 0.000 1.829 1.056 10.047" Properties=species:S:1:pos:R:3 pbc="T T T"
Sr 0.000 0.000 0.000
C 3.658 2.112 5.024
Tb 1.829 1.056 6.364
Tb 5.487 3.168 3.683
```

## Properties
Its space-group type is R-3m.

=====

Entry 20:
# SrTc3C

Crystalline SrTc3C at its relaxed geometry (PBE-GGA, Alexandria).

```
5
Lattice="5.013 0.000 0.000 0.000 5.013 0.000 0.000 0.000 5.013" Properties=species:S:1:pos:R:3 pbc="T T T"
Sr 0.000 0.000 0.000
C 2.507 2.507 2.507
Tc 0.000 2.507 0.000
Tc 0.000 0.000 2.507
Tc 2.507 0.000 0.000
```

## Properties
Its space-group type is Pm-3m. The calculation puts the energy relative to the lowest polymorph listed for this composition at 3608 meV/atom.

=====

Result set for magnetic moment: 1.35 0.00 0.00 0.00 3.57 0.00 0.00 0.00 0.00 0.00 0.00 0.00 0.00 0.00 2.22 0.00 2.75 0.02 0.04 7.00 μB/cell, one per record in the order listed.
Result set for total DFT energy (no corrections): -3.03 -5.28 -4.71 -5.32 -2.27 -6.51 -4.07 -3.42 -5.34 -3.06 -5.87 -5.08 -8.71 -5.39 -5.49 -3.78 -4.86 -6.25 -5.09 -4.17 eV/atom, one per record in the order listed.